Compound: CsAs3Au3
Source: Alexandria via LeMat-Bulk
Functional: GGA-PBE
Structure: relaxed

The calculation puts the formation energy from the elements at -13.3 kJ/mol of atoms. Its symmetry is Pm-3n (223). The density of states at the Fermi level is 0.576 states/eV per atom. As for the total magnetization: 0.0 Bohr magnetons per cell.

Cell lengths 7.2778, 7.2778, 7.2778 Å; angles 90.00, 90.00, 90.00 degrees
Fractional coordinates of all 14 atoms:
Cs 0.5000 0.5000 0.5000
Cs 0.0000 0.0000 0.0000
As 0.0000 0.2500 0.5000
As 0.0000 0.7500 0.5000
As 0.5000 0.0000 0.7500
As 0.7500 0.5000 0.0000
As 0.5000 0.0000 0.2500
As 0.2500 0.5000 0.0000
Au 0.2500 0.0000 0.5000
Au 0.0000 0.5000 0.2500
Au 0.5000 0.7500 0.0000
Au 0.7500 0.0000 0.5000
Au 0.0000 0.5000 0.7500
Au 0.5000 0.2500 0.0000

***

Compound: Si2GeS
Source: Alexandria via LeMat-Bulk
Functional: GGA-PBE
Structure: relaxed

Its symmetry is Fm-3m (225). The density of states at the Fermi level is 0.503 states/eV per atom. As for the total magnetization: 0.0 Bohr magnetons per cell. The calculation puts the uncorrected formation energy at 558 meV per atom.

Cell lengths 4.5108, 4.5108, 4.5108 Å; angles 60.00, 60.00, 60.00 degrees
Fractional coordinates of all 4 atoms:
Ge 0.5000 0.5000 0.5000
Si 0.2500 0.2500 0.2500
Si 0.7500 0.7500 0.7500
S 0.0000 0.0000 0.0000

***

Compound: SrBeCd
Source: Alexandria via LeMat-Bulk
Functional: GGA-PBE
Structure: relaxed

The calculation puts the formation energy from the elements at 30.6 kJ/mol of atoms. Its symmetry is F-43m (216). The density of states at the Fermi level is 0.943 states/eV per atom. As for the total magnetization: 0.0 Bohr magnetons per cell.

Cell lengths 4.8679, 4.8679, 4.8679 Å; angles 60.00, 60.00, 60.00 degrees
Fractional coordinates of all 3 atoms:
Sr 0.5000 0.5000 0.5000
Be 0.7500 0.7500 0.7500
Cd 0.0000 0.0000 0.0000

***

Compound: Co4Re
Source: Alexandria via LeMat-Bulk
Functional: GGA-PBE
Structure: relaxed

The calculation puts the formation energy from the elements at 111.8 kJ/mol of atoms. Its symmetry is Im-3m (229). The density of states at the Fermi level is 1.833 states/eV per atom. As for the total magnetization: 3.3 Bohr magnetons per cell.

Cell lengths 4.6352, 4.6352, 4.6352 Å; angles 109.47, 109.47, 109.47 degrees
Site moments in Bohr magnetons follow the coordinates.
Fractional coordinates of all 5 atoms:
Co 0.5000 0.0000 0.0000  0.87
Co 0.5000 0.5000 0.5000  0.87
Co 0.0000 0.5000 0.0000  0.87
Co 0.0000 0.0000 0.5000  0.87
Re 0.0000 0.0000 0.0000  -0.19

***

Compound: NbNi3Hg
Source: Alexandria via LeMat-Bulk
Functional: GGA-PBE
Structure: relaxed

The calculation puts the formation energy from the elements at 114.8 kJ/mol of atoms. Its symmetry is Pm-3m (221). The density of states at the Fermi level is 1.242 states/eV per atom. As for the total magnetization: 0.0 Bohr magnetons per cell.

Cell lengths 4.5785, 4.5785, 4.5785 Å; angles 90.00, 90.00, 90.00 degrees
Fractional coordinates of all 5 atoms:
Ni 0.0000 0.5000 0.0000
Ni 0.0000 0.0000 0.5000
Ni 0.5000 0.0000 0.0000
Nb 0.0000 0.0000 0.0000
Hg 0.5000 0.5000 0.5000

***

Compound: La2AlO2
Source: Alexandria via LeMat-Bulk
Functional: GGA-PBE
Structure: relaxed

Its symmetry is I4/mmm (139). The density of states at the Fermi level is 0.241 states/eV per atom. As for the total magnetization: 1.0 Bohr magnetons per cell. The calculation puts the uncorrected formation energy at -2288 meV per atom.

Cell lengths 4.0862, 4.0862, 7.5086 Å; angles 74.21, 74.21, 90.00 degrees
Site moments in Bohr magnetons follow the coordinates.
Fractional coordinates of all 5 atoms:
Al 0.0000 0.0000 0.0000  0.09
O 0.7500 0.2500 0.5000  0.02
O 0.2500 0.7500 0.5000  0.02
La 0.3375 0.3375 0.3251  0.07
La 0.6625 0.6625 0.6749  0.07

***

Compound: VHg2Cl
Source: Alexandria via LeMat-Bulk
Functional: GGA-PBE
Structure: relaxed

Its symmetry is I-42d (122). The density of states at the Fermi level is 0.845 states/eV per atom. As for the total magnetization: 7.4 Bohr magnetons per cell. The calculation puts the uncorrected formation energy at 28 meV per atom.

Cell lengths 9.8614, 9.8614, 7.3618 Å; angles 47.95, 47.95, 90.00 degrees
Site moments in Bohr magnetons follow the coordinates.
Fractional coordinates of all 8 atoms:
V 0.0000 0.0000 0.0000  2.80
V 0.7500 0.2500 0.5000  2.80
Hg 0.7322 0.1250 0.2500  0.06
Hg 0.0178 0.6250 0.2500  0.06
Hg 0.3750 0.2678 0.7500  0.06
Hg 0.8750 0.9822 0.7500  0.06
Cl 0.5000 0.5000 0.0000  -0.02
Cl 0.2500 0.7500 0.5000  -0.02

***

Compound: TlInAg2I6
Source: Alexandria via LeMat-Bulk
Functional: GGA-PBE
Structure: relaxed

Its symmetry is R3 (146). As for the total magnetization: 0.0 Bohr magnetons per cell. The calculation puts the uncorrected formation energy at -362 meV per atom.

Cell lengths 7.7791, 7.7779, 8.5298 Å; angles 62.86, 62.85, 59.96 degrees
Fractional coordinates of all 10 atoms:
Tl 0.8146 0.8148 0.5556
In 0.3291 0.3290 0.0128
Ag 0.5134 0.5134 0.4601
Ag 0.9946 0.9950 0.0157
I 0.5786 0.2643 0.2310
I 0.2645 0.9258 0.2312
I 0.9260 0.5784 0.2313
I 0.3604 0.7358 0.7594
I 0.7358 0.1445 0.7590
I 0.1446 0.3607 0.7592

***

Compound: Ba2TcAu
Source: Alexandria via LeMat-Bulk
Functional: GGA-PBE
Structure: relaxed

The calculation puts the formation energy from the elements at 37.1 kJ/mol of atoms. Its symmetry is P4mm (99). The density of states at the Fermi level is 1.372 states/eV per atom. As for the total magnetization: 0.0 Bohr magnetons per cell.

Cell lengths 3.7637, 3.7637, 9.2577 Å; angles 90.00, 90.00, 90.00 degrees
Fractional coordinates of all 4 atoms:
Au 0.5000 0.5000 0.6748
Ba 0.0000 0.0000 0.9025
Ba 0.5000 0.5000 0.3362
Tc 0.0000 0.0000 0.5866

***

Compound: Ta3AsCl
Source: Alexandria via LeMat-Bulk
Functional: GGA-PBE
Structure: relaxed

Its symmetry is Pm-3m (221). The density of states at the Fermi level is 0.986 states/eV per atom. As for the total magnetization: 0.0 Bohr magnetons per cell. The calculation puts the uncorrected formation energy at 1005 meV per atom.

Cell lengths 4.5413, 4.5413, 4.5413 Å; angles 90.00, 90.00, 90.00 degrees
Fractional coordinates of all 5 atoms:
As 0.5000 0.5000 0.5000
Cl 0.0000 0.0000 0.0000
Ta 0.0000 0.5000 0.0000
Ta 0.0000 0.0000 0.5000
Ta 0.5000 0.0000 0.0000

***

Compound: CaAc2Ir9
Source: Alexandria via LeMat-Bulk
Functional: GGA-PBE
Structure: relaxed

The calculation puts the formation energy from the elements at -33.7 kJ/mol of atoms. Its symmetry is R-3m (166). The density of states at the Fermi level is 0.811 states/eV per atom. As for the total magnetization: 0.0 Bohr magnetons per cell.

Cell lengths 5.4418, 5.4418, 9.5181 Å; angles 73.39, 73.39, 60.00 degrees
Fractional coordinates of all 12 atoms:
Ca 0.0000 0.0000 0.0000
Ac 0.8619 0.8619 0.4144
Ac 0.1381 0.1381 0.5856
Ir 0.6690 0.6690 0.9929
Ir 0.3310 0.3310 0.0071
Ir 0.5000 0.5000 0.5000
Ir 0.4249 0.4249 0.2349
Ir 0.9153 0.4249 0.2349
Ir 0.4249 0.9153 0.2349
Ir 0.5751 0.5751 0.7651
Ir 0.5751 0.0847 0.7651
Ir 0.0847 0.5751 0.7651

***

Compound: PuSi4Ni2Os
Source: Alexandria via LeMat-Bulk
Functional: GGA-PBE
Structure: relaxed

Its symmetry is R-3m (166). The density of states at the Fermi level is 1.351 states/eV per atom. As for the total magnetization: 5.9 Bohr magnetons per cell. The calculation puts the uncorrected formation energy at -364 meV per atom.

Cell lengths 3.9720, 3.9720, 8.8513 Å; angles 77.03, 77.03, 60.00 degrees
Site moments in Bohr magnetons follow the coordinates.
Fractional coordinates of all 8 atoms:
Pu 0.0000 0.0000 0.0000  5.15
Si 0.4009 0.4009 0.7972  -0.01
Si 0.8766 0.8766 0.3701  0.00
Si 0.1234 0.1234 0.6299  0.00
Si 0.5991 0.5991 0.2028  -0.01
Ni 0.7684 0.7684 0.6948  0.15
Ni 0.2316 0.2316 0.3052  0.15
Os 0.5000 0.5000 0.5000  0.17